Density functional theory data (PBE) for a geometry-optimized NaCeAgBi structure. Values from VASP.

Results
Total DFT energy (no corrections): -3.82 eV/atom
DOS at the Fermi energy: 2.041 states/eV/atom
M_tot: 0.2586 μB/atom
Crystal system: cubic
Calculated formation energy: -0.32 eV per atom

```
&SYSTEM
  ibrav = 0, nat = 4, ntyp = 4
/
ATOMIC_SPECIES
Na 22.99 Na.upf
Ce 140.12 Ce.upf
Ag 107.87 Ag.upf
Bi 208.98 Bi.upf
ATOMIC_POSITIONS angstrom
Na 0.000 0.000 0.000
Ce 3.799 3.799 3.799
Ag 1.900 1.900 1.900
Bi 5.699 5.699 5.699
CELL_PARAMETERS angstrom
0.000 3.799 3.799
3.799 0.000 3.799
3.799 3.799 0.000
```